1.
# LaMoBr2 PBE optimized geometry
# Raw formation energy   -0.0731 eV/atom
# ΔE to the lowest computed polymorph   0.369 eV/atom
# E_tot   -4.849 eV per atom
# Magnetic moment   3.23 μB/f.u.
data_LaMoBr2
_chemical_formula_sum 'La1 Mo1 Br2'
_space_group_name_H-M_alt 'P 4/m m m'
_space_group_IT_number 123
_space_group_name_Hall '-P 4 2'
_cell_length_a 4.811
_cell_length_b 4.811
_cell_length_c 4.134
_cell_angle_alpha 90.00
_cell_angle_beta 90.00
_cell_angle_gamma 90.00
loop_
_atom_site_label
_atom_site_fract_x
_atom_site_fract_y
_atom_site_fract_z
La1 0.000 0.000 0.000
Mo1 0.500 0.500 0.000
Br1 0.000 0.500 0.500


2.
# AlTl2Ir PBE optimized geometry
# ΔE to the lowest computed polymorph   0.099 eV/atom
# E_tot   -4.301 eV per atom
# Formation energy   13 kJ/mol of formula units
# Magnetic moment   0.00 μB/f.u.
data_AlTl2Ir
_chemical_formula_sum 'Al4 Tl8 Ir4'
_space_group_name_H-M_alt 'I 41/a m d'
_space_group_IT_number 141
_cell_length_a 10.391
_cell_length_b 10.391
_cell_length_c 4.804
_cell_angle_alpha 90.00
_cell_angle_beta 90.00
_cell_angle_gamma 90.00
loop_
_space_group_symop_operation_xyz
'x,y,z'
'-x,-y,-z'
'-y+1/4,x+3/4,z+1/4'
'y+1/4,-x+3/4,-z+1/4'
'-x+1/2,-y,z+1/2'
'x+1/2,y,-z+1/2'
'y+1/4,-x+1/4,z+3/4'
'-y+1/4,x+1/4,-z+3/4'
'x,-y,-z'
'-x,y,z'
'-y+1/4,-x+1/4,-z+3/4'
'y+1/4,x+1/4,z+3/4'
'-x+1/2,y,-z+1/2'
'x+1/2,-y,z+1/2'
'y+1/4,x+3/4,-z+1/4'
'-y+1/4,-x+3/4,z+1/4'
'x+1/2,y+1/2,z+1/2'
'-x+1/2,-y+1/2,-z+1/2'
'-y+3/4,x+1/4,z+3/4'
'y+3/4,-x+1/4,-z+3/4'
'-x,-y+1/2,z'
'x,y+1/2,-z'
'y+3/4,-x+3/4,z+1/4'
'-y+3/4,x+3/4,-z+1/4'
'x+1/2,-y+1/2,-z+1/2'
'-x+1/2,y+1/2,z+1/2'
'-y+3/4,-x+3/4,-z+1/4'
'y+3/4,x+3/4,z+1/4'
'-x,y+1/2,-z'
'x,-y+1/2,z'
'y+3/4,x+1/4,-z+3/4'
'-y+3/4,-x+1/4,z+3/4'
loop_
_atom_site_label
_atom_site_fract_x
_atom_site_fract_y
_atom_site_fract_z
Al1 0.000 0.250 0.375
Tl1 0.000 0.000 0.000
Ir1 0.000 0.250 0.875


3.
# Os2PtRh8 PBE optimized geometry
# E_tot   -7.771 eV per atom
# Formation energy   177 kJ/mol of formula units
# Magnetic moment   0.00 μB/f.u.
data_Os2PtRh8
_chemical_formula_sum 'Os4 Pt2 Rh16'
_space_group_name_H-M_alt 'I m m m'
_space_group_IT_number 71
_space_group_name_Hall '-I 2 2'
_cell_length_a 3.905
_cell_length_b 7.274
_cell_length_c 11.662
_cell_angle_alpha 90.00
_cell_angle_beta 90.00
_cell_angle_gamma 90.00
loop_
_atom_site_label
_atom_site_fract_x
_atom_site_fract_y
_atom_site_fract_z
Os1 0.000 0.000 0.188
Pt1 0.000 0.000 0.500
Rh1 0.000 0.195 0.000
Rh2 0.000 0.269 0.341
Rh3 0.000 0.500 0.163